Pr7Nd3Ho | GGA-PBE | optimized geometry

The structure belongs to space group C2/m (No. 12); the cell edges are 13.034, 11.506 and 6.037 Å and the angles 90.00°, 117.51° and 90.00°. The distinct sites, in fractional coordinates, are Pr at (0.000, 0.000, 0.000), Pr at (0.196, 0.293, 0.696), Pr at (0.210, 0.500, 0.210), Nd at (0.000, 0.292, 0.000), Nd at (0.000, 0.500, 0.500) and Ho at (0.000, 0.000, 0.500).

For the total energy, the calculation gives -49.91 eV/f.u. As for the offset from the most stable computed form: 0.00 kcal/mol of atoms. The magnetic moment comes out at 0.00 μB/f.u.